Entry 1:
A plane-wave DFT calculation with PBE-GGA was carried out for Ho4PuTe5 after structural relaxation.

extended XYZ file:
```
10
Lattice="4.225 0.000 0.965 1.778 7.100 1.947 0.001 0.025 9.725" Properties=species:S:1:pos:R:3 pbc="T T T"
Ho 2.884 1.432 6.834
Ho 1.561 2.834 2.897
Ho 4.443 4.290 9.740
Ho 3.120 5.693 5.803
Pu 0.000 0.000 0.000
Te 2.457 6.398 8.706
Te 3.548 0.727 3.930
Te 2.226 2.195 9.714
Te 0.890 3.562 5.836
Te 3.778 4.930 2.922
```

Output
Symmetry ... C2/m, No. 12
ΔE_f (raw) ... -1.236 eV per atom
Energy above the most stable polymorph in this dataset ... 0 meV/atom
Calculated density ... 8.78 g/cm³

Entry 2:
A plane-wave DFT calculation with PBE-GGA was carried out for Ho3Pu4Te8 after structural relaxation.

extended XYZ file:
```
15
Lattice="-3.064 7.376 -3.585 7.440 -3.556 -2.948 -4.149 -7.593 -1.350" Properties=species:S:1:pos:R:3 pbc="T T T"
Ho 2.188 1.910 -3.266
Ho -3.606 -0.108 -2.468
Ho 0.114 -1.886 -3.941
Pu -1.532 3.688 -1.793
Pu 3.720 -1.778 -1.474
Pu 0.000 0.000 0.000
Pu -2.075 -3.797 -0.675
Te -0.720 0.895 -2.963
Te 4.476 -4.589 -2.539
Te 0.831 -2.831 -1.120
Te 2.989 -0.885 -4.338
Te -2.762 -2.888 -3.545
Te -0.604 -0.942 -6.762
Te -1.184 -6.560 -1.759
Te 0.948 -4.668 -4.920
```

Output
Symmetry ... C2/m, No. 12
ΔE_f (raw) ... -1.203 eV per atom
Calculated density ... 8.74 g/cm³

Entry 3:
A plane-wave DFT calculation with PBE-GGA was carried out for Ho6PuTe8 after structural relaxation.

extended XYZ file:
```
15
Lattice="7.497 0.000 4.329 2.499 7.069 4.329 0.000 0.000 8.657" Properties=species:S:1:pos:R:3 pbc="T T T"
Ho 1.250 3.534 6.493
Ho 3.749 0.000 2.164
Ho 4.998 3.534 4.329
Ho 0.000 0.000 4.329
Ho 1.250 3.534 2.164
Ho 3.749 0.000 6.493
Pu 0.000 0.000 0.000
Te 7.497 5.301 12.986
Te 2.499 1.767 4.329
Te 6.202 1.832 6.573
Te 3.795 5.236 10.742
Te 2.591 1.832 8.657
Te 7.405 5.236 8.657
Te 6.202 1.832 10.742
Te 3.795 5.236 6.573
```

Output
Symmetry ... Fm-3m, No. 225
ΔE_f (raw) ... -1.292 eV per atom
Calculated density ... 8.16 g/cm³